The following is a PBE calculation of a geometry-optimized YHoAl2 structure, from the Alexandria database.

a b c (Å): 3.5936 3.5936 7.1759
angles (deg): 90.00 90.00 90.00
Closest atoms and distances in Å follow each position.
Space group P4/mmm (No. 123)
Symmetry-distinct sites (fractional):
Y: 0.0000 0.0000 0.0000 [1 per cell]  8 Al 3.12
Ho: 0.0000 0.0000 0.5000 [1 per cell]  8 Al 3.10
Al: 0.5000 0.5000 0.2525 [2 per cell]  4 Ho 3.10, 4 Y 3.12

**Distance to the lowest polymorph of the same formula**: 0 meV/atom
**Total DFT energy (no corrections)**: -5.039 eV/atom
**Formation energy**: -0.41 eV per atom